Entry from Alexandria via LeMat-Bulk: a relaxed Th3Fe5O12 crystal (GGA+U).

extended XYZ file:
```
80
Lattice="11.1732 0.0000 0.0000 -3.7244 10.5342 0.0000 -3.7244 -5.2671 9.1229" Properties=species:S:1:pos:R:3 pbc="T T T"
Th 6.5177 3.2919 1.1404
Th 6.5177 7.2423 1.1404
Th -0.9311 4.6087 5.7018
Th 0.9311 -0.6584 3.4211
Th 8.3799 0.0000 2.2807
Th 0.9311 5.2671 2.2807
Th 2.7933 0.0000 6.8422
Th -4.6555 5.2671 6.8422
Th 2.7933 5.9255 5.7018
Th 4.6555 0.6584 3.4211
Th -2.7933 -1.9752 7.9825
Th -2.7933 1.9752 7.9825
Fe -0.9311 2.6336 2.2807
Fe -1.8622 5.2671 0.0000
Fe 0.0000 0.0000 0.0000
Fe 2.7933 1.9752 1.1404
Fe 3.7244 -2.6336 4.5615
Fe 3.7244 5.2671 0.0000
Fe -2.7933 5.9255 3.4211
Fe 4.6555 -3.2919 7.9825
Fe 4.6555 4.6087 3.4211
Fe 0.9311 -2.6336 6.8422
Fe 2.7933 7.9007 2.2807
Fe 1.8622 2.6336 4.5615
Fe 5.5866 0.0000 0.0000
Fe -1.8622 -2.6336 4.5615
Fe -0.9311 0.6584 5.7018
Fe -0.9311 8.5591 1.1404
Fe -3.7244 2.6336 4.5615
Fe 6.5177 -0.6584 5.7018
Fe 0.9311 3.2919 7.9825
Fe 4.6555 2.6336 6.8422
O 7.3914 1.1781 0.3256
O 0.0574 3.5045 3.7040
O 8.3399 2.4086 2.5850
O 4.6955 1.5992 1.1830
O 1.3531 3.9626 6.2123
O 7.8883 5.3041 1.6509
O -0.8911 6.0766 3.7680
O -2.8333 8.9350 1.1830
O 0.5091 6.5716 6.2123
O 5.1472 5.2301 1.6509
O 5.6441 2.9406 3.3784
O 5.6441 9.3562 0.3256
O -3.2153 4.7278 4.8870
O 2.3017 3.8189 0.7934
O -3.7819 7.5936 3.3784
O 1.9197 -1.7626 5.4189
O -0.5091 0.7652 1.9764
O 2.3017 6.6783 0.8575
O 4.6955 8.1256 2.5850
O -0.4394 3.8559 0.8575
O -2.3713 6.0323 7.1465
O 2.7533 4.4577 3.7680
O 5.0775 5.8064 4.8870
O 4.1639 -1.4482 8.3295
O 0.9711 0.8094 5.3549
O -1.3531 -0.5393 4.2359
O -0.4394 6.7153 0.7934
O -0.9711 -2.8585 6.5379
O 6.0957 -0.7652 1.9764
O 4.1639 1.4112 8.2655
O 1.4228 -1.4112 8.2655
O 1.8048 7.0297 3.7040
O 4.2335 4.5019 7.1465
O 7.5063 -2.3265 5.7445
O 6.9397 0.5393 4.2359
O -1.9197 -4.0890 8.7973
O 1.4228 1.4482 8.3295
O 3.2153 -1.3045 2.9106
O -1.4228 0.0370 7.4720
O -1.9197 2.3265 5.7445
O 6.5577 -3.6679 7.9399
O 4.6155 -0.8094 5.3549
O -0.9711 3.6679 7.9399
O -4.1639 -0.0370 7.4720
O 2.3713 1.3045 2.9106
O -4.6155 2.8585 6.5379
O 3.6670 1.7626 5.4189
O -3.6670 4.0890 8.7973
```

Properties
V ... 268.4 Å³/f.u.
E_tot ... -7.898 eV per atom

=====

Entry from Alexandria via LeMat-Bulk: a relaxed TiFe2O4 crystal (GGA+U).

extended XYZ file:
```
14
Lattice="-2.2210 0.8556 -1.8125 -2.1363 -2.9496 3.6943 -1.4786 8.1702 5.6684" Properties=species:S:1:pos:R:3 pbc="T T T"
Ti -1.6682 4.0425 3.9523
Ti -3.6438 -0.8611 1.5896
Fe -3.6665 4.4157 6.5772
Fe -2.2346 6.8645 5.9785
Fe -2.2564 2.1420 1.3071
Fe -4.1125 2.0369 3.5318
O -4.2558 6.2431 5.6929
O -1.9828 2.0589 3.4015
O -1.7816 -0.3555 2.0153
O -3.6413 4.1497 3.9517
O -1.9123 4.3956 1.9492
O -4.6410 5.6451 8.3516
O -4.4970 -0.0020 3.0406
O -1.2979 5.8519 4.3526
```

Properties
V ... 74.7 Å³/f.u.
E_tot ... -7.613 eV per atom

=====

Entry from Alexandria via LeMat-Bulk: a relaxed Ti2Fe4O9 crystal (GGA+U).

extended XYZ file:
```
30
Lattice="-3.7610 -3.9787 0.8218 2.9801 -3.0714 -6.3006 5.4516 -0.4009 6.9940" Properties=species:S:1:pos:R:3 pbc="T T T"
Ti -0.0534 -2.2480 -1.9647
Ti -0.2075 -5.5607 -0.0941
Ti 1.8234 -3.2432 3.9730
Ti 6.8875 -4.2686 1.7735
Fe -2.2794 -3.2932 -0.2746
Fe 2.8271 -4.0970 -2.5107
Fe -1.6980 -4.0154 2.9509
Fe 4.9172 -1.8970 1.6944
Fe 3.3468 -4.8668 0.8130
Fe 1.3476 -2.6174 0.6570
Fe 6.4285 -3.4098 -1.5160
Fe -0.7697 -4.8227 -3.4650
O 0.9163 -3.5443 -2.9484
O 1.3276 -1.4205 -1.0531
O -0.2932 -6.0623 -1.9565
O 3.1079 -1.4812 1.0389
O 0.7181 -5.6072 -4.6064
O 2.8328 -6.0494 -2.4034
O -0.1743 -3.6840 -0.3269
O 1.8738 -3.9237 2.1834
O 4.3497 -6.1821 -0.2688
O 3.1376 -4.2050 -4.5711
O 2.9154 -3.5688 -0.5988
O 4.7952 -3.9032 1.7908
O 2.0008 -1.4054 3.7939
O 4.0375 -1.6788 6.3069
O 1.5571 -5.9315 0.4045
O 5.0130 -1.4140 3.6327
O 3.2624 -6.2513 2.5168
O 3.6405 -3.7839 4.4614
```

Properties
V ... 161.3 Å³/f.u.
E_tot ... -7.550 eV per atom

=====

Entry from Alexandria via LeMat-Bulk: a relaxed TiFe2O4 crystal (GGA+U).

extended XYZ file:
```
28
Lattice="-1.9293 5.4702 1.9120 -5.0601 2.3746 -2.4638 -7.5498 -2.0753 6.8739" Properties=species:S:1:pos:R:3 pbc="T T T"
Ti -8.7989 1.3701 1.0246
Ti -11.0807 1.8139 6.5466
Ti -4.5995 4.1775 2.5366
Ti -8.3744 3.1398 5.9735
Fe -10.9044 4.3271 4.7416
Fe -9.9398 1.5920 3.7856
Fe -8.4014 -0.5084 6.3662
Fe -6.4180 1.3178 3.6688
Fe -3.6348 1.4424 1.5805
Fe -6.1649 2.6296 0.3487
Fe -8.1150 4.4538 2.6593
Fe -6.1441 6.2757 -0.0499
O -1.8978 0.5128 0.9088
O -5.3718 2.3720 2.2523
O -9.1060 3.4594 4.1563
O -12.7029 5.1948 5.3270
O -5.5919 -0.5120 4.1318
O -5.1439 4.6128 0.6506
O -9.2275 1.3215 5.9032
O -9.1152 6.1167 1.9588
O -4.1741 2.1143 -0.3962
O -8.1712 0.8630 2.7268
O -8.1557 3.1450 1.0935
O -11.7083 2.3210 4.8444
O -2.9423 3.5333 1.6776
O -6.6260 2.5917 5.2375
O -6.2567 4.8216 3.3956
O -10.1227 3.6880 6.7095
```

Properties
V ... 81.2 Å³/f.u.
E_tot ... -7.676 eV per atom

=====

Entry from Alexandria via LeMat-Bulk: a relaxed TiFe2O4 crystal (GGA+U).

extended XYZ file:
```
28
Lattice="5.3691 0.0000 0.0000 0.0000 5.3617 0.0000 0.0000 0.0000 10.6874" Properties=species:S:1:pos:R:3 pbc="T T T"
Ti 0.0000 0.0000 5.3437
Ti 2.6845 2.6809 5.3437
Ti 0.0000 2.6809 0.0000
Ti 2.6845 0.0000 0.0000
Fe 5.2215 5.0478 9.0425
Fe 2.5370 2.9948 1.6449
Fe 0.1476 2.3669 6.9887
Fe 2.8321 0.3139 3.6988
Fe 0.1476 0.3139 1.6449
Fe 2.8321 2.3669 9.0425
Fe 5.2215 2.9948 3.6988
Fe 2.5370 5.0478 6.9887
O 4.4162 3.6619 5.7754
O 1.7316 4.3807 4.9121
O 0.9529 0.9810 10.2558
O 3.6374 1.6998 0.4317
O 0.9529 1.6998 4.9121
O 3.6374 0.9810 5.7754
O 4.4162 4.3807 0.4317
O 1.7316 3.6619 10.2558
O 0.5474 0.2963 7.1992
O 3.2320 2.3846 3.4882
O 4.8216 2.9771 8.8320
O 2.1371 5.0654 1.8555
O 4.8216 5.0654 3.4882
O 2.1371 2.9771 7.1992
O 0.5474 2.3846 1.8555
O 3.2320 0.2963 8.8320
```

Properties
V ... 76.9 Å³/f.u.
E_tot ... -7.639 eV per atom

=====

Entry from Alexandria via LeMat-Bulk: a relaxed TiFe3O6 crystal (GGA+U).

extended XYZ file:
```
10
Lattice="5.5151 0.0015 0.0011 3.0927 4.5663 0.0011 3.0927 1.6412 4.2612" Properties=species:S:1:pos:R:3 pbc="T T T"
Ti 1.7123 0.9087 0.6239
Fe 7.5276 3.9946 2.7428
Fe 4.1254 2.1892 1.5032
Fe 9.9759 5.2939 3.6349
O 5.7403 1.0192 1.8278
O 4.9334 3.5923 0.2946
O 4.0617 3.2081 3.2468
O 5.9605 5.3049 2.3440
O 6.7307 2.6418 4.1089
O 7.7342 2.8925 0.9896
```

Properties
V ... 107.3 Å³/f.u.
E_tot ... -7.357 eV per atom

=====

Entry from Alexandria via LeMat-Bulk: a relaxed Ti3FeO crystal (GGA+U).

extended XYZ file:
```
5
Lattice="-2.4853 2.7930 -1.7193 -0.1071 -2.2251 -3.4599 -3.2780 -2.0449 1.4166" Properties=species:S:1:pos:R:3 pbc="T T T"
Fe -2.9352 -0.7385 -1.8813
O 0.0000 0.0000 0.0000
Ti -0.0536 -1.1126 -1.7299
Ti -1.6390 -1.0224 0.7083
Ti -1.2426 1.3965 -0.8596
```

Properties
V ... 69.7 Å³/f.u.
E_tot ... -7.718 eV per atom

=====

Entry from Alexandria via LeMat-Bulk: a relaxed Ti3Fe9O16 crystal (GGA+U).

extended XYZ file:
```
56
Lattice="6.1086 0.0000 0.0000 0.0000 8.6385 0.0000 0.0000 0.0000 12.2164" Properties=species:S:1:pos:R:3 pbc="T T T"
Ti 3.0543 4.3430 3.0589
Ti 3.0543 4.3193 0.0000
Ti 3.0543 4.2955 9.1575
Ti 0.0000 0.0000 6.1082
Ti 0.0000 8.6148 9.1671
Ti 0.0000 0.0237 3.0493
Fe 4.5836 2.1268 10.7097
Fe 4.5793 2.1925 4.6015
Fe 1.5250 2.1268 10.7097
Fe 1.5293 2.1925 4.6015
Fe 0.0000 3.1294 1.5109
Fe 0.0000 3.1634 7.6838
Fe 3.0543 4.3193 6.1082
Fe 0.0000 5.5092 10.7055
Fe 0.0000 5.4751 4.5326
Fe 1.5293 6.4460 7.6148
Fe 4.5836 6.5117 1.5067
Fe 1.5250 6.5117 1.5067
Fe 4.5793 6.4460 7.6148
Fe 3.0543 7.4827 10.6408
Fe 3.0543 7.4486 4.5973
Fe 0.0000 0.0000 0.0000
Fe 3.0543 1.1899 7.6191
Fe 3.0543 1.1558 1.5756
O 3.0543 2.2896 0.0335
O 3.0543 2.3150 9.3227
O 3.0543 2.2892 5.9401
O 3.0543 2.3724 3.0424
O 1.7355 4.3103 10.7314
O 4.3731 4.3103 10.7314
O 4.5093 4.3988 4.3853
O 1.5993 4.3988 4.3853
O 4.5093 4.2397 7.8311
O 4.3731 4.3282 1.4849
O 1.7355 4.3282 1.4849
O 1.5993 4.2397 7.8311
O 3.0543 6.3489 12.1829
O 3.0543 6.3235 2.8937
O 3.0543 6.3493 6.2763
O 3.0543 6.2661 9.1740
O 0.0000 6.6342 9.0018
O 0.0000 6.6916 3.0658
O 0.0000 6.6085 0.1681
O 0.0000 6.6089 6.0747
O 4.7898 8.6296 7.5931
O 1.3188 8.6296 7.5931
O 4.6536 0.0796 1.7229
O 1.4550 0.0796 1.7229
O 1.3188 0.0089 4.6233
O 4.7898 0.0089 4.6233
O 1.4550 8.5589 10.4935
O 4.6536 8.5589 10.4935
O 0.0000 2.0300 12.0482
O 0.0000 1.9469 9.1506
O 0.0000 2.0043 3.2145
O 0.0000 2.0296 6.1417
```

Properties
V ... 322.3 Å³/f.u.
E_tot ... -7.417 eV per atom

=====

Entry from Alexandria via LeMat-Bulk: a relaxed TiFe2O4 crystal (GGA+U).

extended XYZ file:
```
14
Lattice="-2.4433 -1.1606 1.3426 3.3062 -3.6801 1.3635 2.1700 5.0592 8.3850" Properties=species:S:1:pos:R:3 pbc="T T T"
Ti 1.4887 -0.8531 7.0500
Ti 0.7863 -0.6900 1.1264
Fe 1.1989 2.5380 7.4692
Fe 2.6199 1.1442 9.6622
Fe 1.9471 -2.0571 4.0529
Fe 1.1447 0.7815 4.2588
O 3.1254 2.7146 8.2132
O 0.5005 -1.1082 5.1930
O 0.4006 -1.9413 2.4976
O 2.0678 0.8264 6.3792
O 3.0113 -1.6124 6.0784
O 1.0642 4.2635 9.0489
O 0.5118 0.8883 2.1305
O 2.4483 -0.8348 8.6695
```

Properties
V ... 77.1 Å³/f.u.
E_tot ... -7.626 eV per atom

=====

Entry from Alexandria via LeMat-Bulk: a relaxed TiFe5O8 crystal (GGA+U).

extended XYZ file:
```
14
Lattice="5.3025 -3.0289 0.0083 5.3025 3.0289 0.0083 3.5646 0.0000 4.9583" Properties=species:S:1:pos:R:3 pbc="T T T"
Ti 7.0848 0.0000 2.4874
Fe 12.3221 0.0000 4.3262
Fe 1.8474 0.0000 0.6486
Fe 4.4335 1.5145 2.4833
Fe 5.3025 0.0000 0.0083
Fe 4.4335 -1.5145 2.4833
O 10.5129 0.0000 3.6910
O 7.8838 1.4329 3.6447
O 8.7060 0.0000 1.3030
O 7.8838 -1.4329 3.6447
O 3.6566 0.0000 1.2838
O 6.2857 -1.4329 1.3301
O 5.4635 0.0000 3.6717
O 6.2857 1.4329 1.3301
```

Properties
V ... 159.1 Å³/f.u.
E_tot ... -7.162 eV per atom

=====

Entry from Alexandria via LeMat-Bulk: a relaxed TiFe2O2 crystal (GGA+U).

extended XYZ file:
```
10
Lattice="-1.9820 -6.1653 0.6988 5.4455 -1.3768 3.2984 -1.2302 0.6568 2.3052" Properties=species:S:1:pos:R:3 pbc="T T T"
Fe 3.9950 -3.4590 3.1175
Fe 1.7260 -6.2185 2.6928
Fe -0.5316 -4.0832 0.8796
Fe 1.7374 -1.3236 1.3043
O 2.7259 -1.7064 3.5153
O 2.5134 -4.9859 4.3363
O -0.4927 -5.1789 2.7870
O -0.2802 -1.8995 1.9660
Ti 0.0000 0.0000 0.0000
Ti 1.7317 -3.7711 1.9986
```

Properties
V ... 57.2 Å³/f.u.
E_tot ... -5.901 eV per atom

=====

Entry from Alexandria via LeMat-Bulk: a relaxed Ti2Fe4O9 crystal (GGA+U).

extended XYZ file:
```
30
Lattice="-0.6932 -2.0553 4.6020 -4.5035 -2.5124 -1.8589 7.7386 -7.1071 -4.7436" Properties=species:S:1:pos:R:3 pbc="T T T"
Ti -0.7444 -1.6742 -0.8461
Ti 2.7500 -4.5199 1.2773
Ti -0.2081 -7.1548 -3.2778
Ti 3.2863 -10.0005 -1.1544
Fe -3.3747 -3.9263 0.5477
Fe -0.0215 -3.7146 1.1680
Fe -1.9069 -3.9304 -2.0283
Fe 1.6173 -6.9049 -0.0449
Fe 0.9246 -4.7699 -1.9555
Fe 4.4488 -7.7443 0.0278
Fe 2.5635 -7.9601 -3.1685
Fe 5.9167 -7.7485 -2.5481
O -1.5182 -3.4307 -0.1211
O -3.2681 -4.0630 2.6186
O -2.8702 -6.0744 0.6042
O 0.7394 -1.9898 0.2932
O -0.8200 -2.4645 2.4801
O -0.8437 -5.0719 2.3480
O 1.1280 -4.7868 0.1103
O -0.2821 -7.4040 0.5301
O -1.0377 -5.7220 -1.7923
O 3.5797 -5.9527 -0.2081
O 2.8240 -4.2707 -2.5305
O 1.4139 -6.8879 -2.1108
O 3.3857 -6.6028 -4.3485
O 3.3620 -9.2103 -4.4806
O 1.8025 -9.6850 -2.2937
O 5.4122 -5.6004 -2.6046
O 5.8100 -7.6118 -4.6191
O 4.0601 -8.2440 -1.8794
```

Properties
V ... 155.6 Å³/f.u.
E_tot ... -7.364 eV per atom

=====

Entry from Alexandria via LeMat-Bulk: a relaxed TiFe4O8 crystal (GGA+U).

extended XYZ file:
```
13
Lattice="2.9528 5.0477 0.0031 -2.9528 5.0477 0.0031 0.0000 3.2639 4.7869" Properties=species:S:1:pos:R:3 pbc="T T T"
Ti 0.0000 6.6797 2.3966
Fe 0.0000 1.6319 0.6928
Fe 1.4764 4.1558 2.3950
Fe -1.4764 4.1558 2.3950
Fe 0.0000 11.7274 4.1004
O 1.4041 5.8077 1.3434
O -1.4041 5.8077 1.3434
O 0.0000 3.3801 1.4036
O 0.0000 4.9999 3.5047
O 0.0000 8.3595 1.2885
O 0.0000 9.9793 3.3896
O 1.4041 7.5516 3.4498
O -1.4041 7.5516 3.4498
```

Properties
V ... 142.6 Å³/f.u.
E_tot ... -6.886 eV per atom